Version A
Density functional theory data (PBE) for crystalline MgCu8Se4 at its relaxed geometry.

Cell: 6.519 6.519 6.519 Å, 106.87 106.87 114.81°
Atoms (fractional coordinates):
Mg: 0.000 0.000 0.000
Cu: 0.337 0.000 0.337
Cu: 0.663 0.000 0.663
Cu: 0.000 0.663 0.663
Cu: 0.000 0.337 0.337
Cu: 0.275 0.500 0.775
Cu: 0.725 0.500 0.225
Cu: 0.500 0.725 0.225
Cu: 0.500 0.275 0.775
Se: 0.500 0.000 0.000
Se: 0.000 0.500 0.000
Se: 0.000 0.000 0.500
Se: 0.500 0.500 0.500

Version B
Density functional theory data (PBE) for crystalline MgCu8Se4 at its relaxed geometry.

Cell: 7.664 7.664 7.664 Å, 93.48 93.48 151.47°
Atoms (fractional coordinates):
Mg: 0.000 0.000 0.000
Cu: 0.800 0.684 0.484
Cu: 0.200 0.316 0.516
Cu: 0.684 0.200 0.884
Cu: 0.316 0.800 0.116
Cu: 0.963 0.386 0.349
Cu: 0.037 0.614 0.651
Cu: 0.386 0.037 0.422
Cu: 0.614 0.963 0.578
Se: 0.721 0.440 0.160
Se: 0.279 0.560 0.840
Se: 0.440 0.279 0.719
Se: 0.560 0.721 0.281

Most stable to least stable: version B, version A

Version A
Density functional theory data (PBE) for crystalline MgCu4Se at its relaxed geometry.

Cell: 3.721 6.306 7.758 Å, 90.00 90.00 90.00°
Atoms (fractional coordinates):
Mg: 0.000 0.355 0.250
Mg: 0.000 0.645 0.750
Cu: 0.000 0.000 0.000
Cu: 0.000 0.000 0.500
Cu: 0.500 0.051 0.250
Cu: 0.500 0.949 0.750
Cu: 0.500 0.296 0.988
Cu: 0.500 0.296 0.512
Cu: 0.500 0.704 0.012
Cu: 0.500 0.704 0.488
Se: 0.000 0.761 0.250
Se: 0.000 0.239 0.750

Version B
Density functional theory data (PBE) for crystalline MgCu4Se at its relaxed geometry.

Cell: 4.998 4.998 4.998 Å, 60.00 60.00 60.00°
Atoms (fractional coordinates):
Mg: 0.750 0.750 0.750
Cu: 0.873 0.376 0.376
Cu: 0.376 0.376 0.873
Cu: 0.376 0.873 0.376
Cu: 0.376 0.376 0.376
Se: 0.000 0.000 0.000

Most stable to least stable: version B, version A

Version A
Density functional theory data (PBE) for crystalline Mg3Cu3Se at its relaxed geometry.

Cell: 3.786 6.565 10.329 Å, 75.14 90.00 90.00°
Atoms (fractional coordinates):
Cu: 0.250 0.791 0.042
Cu: 0.250 0.107 0.844
Cu: 0.250 0.150 0.124
Cu: 0.750 0.209 0.958
Cu: 0.750 0.893 0.156
Cu: 0.750 0.850 0.876
Mg: 0.250 0.905 0.653
Mg: 0.250 0.508 0.885
Mg: 0.250 0.685 0.328
Mg: 0.750 0.095 0.347
Mg: 0.750 0.492 0.115
Mg: 0.750 0.315 0.672
Se: 0.250 0.274 0.464
Se: 0.750 0.726 0.536

Version B
Density functional theory data (PBE) for crystalline Mg3Cu3Se at its relaxed geometry.

Cell: 9.777 9.776 4.106 Å, 90.00 90.00 120.01°
Atoms (fractional coordinates):
Mg: 0.185 0.371 0.250
Mg: 0.629 0.813 0.250
Mg: 0.187 0.815 0.250
Mg: 0.815 0.629 0.750
Mg: 0.371 0.187 0.750
Mg: 0.813 0.185 0.750
Cu: 0.171 0.086 0.250
Cu: 0.914 0.085 0.250
Cu: 0.915 0.828 0.250
Cu: 0.829 0.914 0.750
Cu: 0.086 0.915 0.750
Cu: 0.085 0.172 0.750
Se: 0.333 0.667 0.250
Se: 0.667 0.333 0.750

Most stable to least stable: version A, version B

Version A
Density functional theory data (PBE) for crystalline Mg2Cu4Se at its relaxed geometry.

Cell: 6.768 6.768 6.768 Å, 115.62 115.62 97.78°
Atoms (fractional coordinates):
Mg: 0.594 0.906 0.000
Mg: 0.906 0.594 0.000
Mg: 0.094 0.094 0.688
Mg: 0.406 0.406 0.312
Cu: 0.217 0.931 0.000
Cu: 0.931 0.217 0.000
Cu: 0.069 0.069 0.286
Cu: 0.783 0.783 0.714
Cu: 0.717 0.717 0.286
Cu: 0.431 0.431 0.714
Cu: 0.569 0.283 0.000
Cu: 0.283 0.569 0.000
Se: 0.000 0.500 0.500
Se: 0.500 0.000 0.500

Version B
Density functional theory data (PBE) for crystalline Mg2Cu4Se at its relaxed geometry.

Cell: 8.511 8.511 8.511 Å, 27.60 27.60 27.60°
Atoms (fractional coordinates):
Mg: 0.730 0.730 0.730
Mg: 0.270 0.270 0.270
Cu: 0.846 0.846 0.846
Cu: 0.154 0.154 0.154
Cu: 0.547 0.547 0.547
Cu: 0.453 0.453 0.453
Se: 0.000 0.000 0.000

Most stable to least stable: version B, version A